Compound: Tb2HoCu4Si2Ge2
Source: OQMD via LeMat-Bulk
Functional: PBE
Structure: relaxed

Properties
* offset from the most stable computed form: 0.6 kJ/mol of atoms
* final energy: -5.068 eV/atom
* V: 17.3 Å³ per atom

Cell lengths 7.936, 7.936, 7.936 Å; angles 149.35, 130.99, 58.92 degrees
Positions (direct):
Si 0.316 0.500 0.816
Si 0.684 0.500 0.184
Ge 0.784 0.784 0.000
Ge 0.216 0.216 0.000
Cu 0.027 0.337 0.690
Cu 0.353 0.663 0.690
Cu 0.973 0.663 0.310
Cu 0.647 0.337 0.310
Ho 0.000 0.000 0.000
Tb 0.370 0.870 0.500
Tb 0.630 0.130 0.500